a) Entry from Alexandria: a relaxed structure of RbMg3 (PBE-GGA).

The structure in CIF format:
```
data_RbMg3
_cell_length_a 3.6272
_cell_length_b 3.6272
_cell_length_c 34.1548
_cell_angle_alpha 90.00
_cell_angle_beta 90.00
_cell_angle_gamma 120.00
_symmetry_space_group_name_H-M 'R -3 m'
_symmetry_Int_Tables_number 166
_symmetry_space_group_name_Hall '-R 3 2"'
loop_
_atom_site_label
_atom_site_fract_x
_atom_site_fract_y
_atom_site_fract_z
Rb1 0.0000 0.0000 0.0000
Mg1 0.0000 0.0000 0.2349
Mg2 0.0000 0.0000 0.5000
```

Calculated values
Total magnetic moment, μB per cell: 0.55
N(E_F), states/eV/cell: 8.7

b) Entry from Alexandria: a relaxed structure of RbMg3 (PBE-GGA).

The structure in CIF format:
```
data_RbMg3
_cell_length_a 5.707
_cell_length_b 5.707
_cell_length_c 8.022
_cell_angle_alpha 90.00
_cell_angle_beta 90.00
_cell_angle_gamma 90.00
_symmetry_space_group_name_H-M 'I 4/m m m'
_symmetry_Int_Tables_number 139
_symmetry_space_group_name_Hall '-I 4 2'
loop_
_atom_site_label
_atom_site_fract_x
_atom_site_fract_y
_atom_site_fract_z
Rb1 0.000 0.000 0.000
Mg1 0.000 0.000 0.500
Mg2 0.000 0.500 0.250
```

Calculated values
Total magnetic moment, μB per cell: 0.00
N(E_F), states/eV/cell: 6.4

According to the calculations, the structures order from most to least stable as a), b).

a) Entry from Alexandria: a relaxed structure of Rb4Mg5 (PBE-GGA).

The structure in CIF format:
```
data_Rb4Mg5
_cell_length_a 11.1718
_cell_length_b 11.1718
_cell_length_c 7.6214
_cell_angle_alpha 90.00
_cell_angle_beta 90.00
_cell_angle_gamma 120.00
_symmetry_space_group_name_H-M 'P 63/m c m'
_symmetry_Int_Tables_number 193
_symmetry_space_group_name_Hall '-P 6c 2'
loop_
_atom_site_label
_atom_site_fract_x
_atom_site_fract_y
_atom_site_fract_z
Rb1 0.0000 0.0000 0.0000
Rb2 0.0000 0.3498 0.2500
Mg1 0.0000 0.3345 0.7500
Mg2 0.3333 0.6667 0.0000
```

Calculated values
Total magnetic moment, μB per cell: 0.00
N(E_F), states/eV/cell: 13.0

b) Entry from Alexandria: a relaxed structure of Rb4Mg5 (PBE-GGA).

The structure in CIF format:
```
data_Rb4Mg5
_cell_length_a 14.160
_cell_length_b 14.160
_cell_length_c 4.621
_cell_angle_alpha 90.00
_cell_angle_beta 90.00
_cell_angle_gamma 90.00
_symmetry_space_group_name_H-M 'I 4/m m m'
_symmetry_Int_Tables_number 139
_symmetry_space_group_name_Hall '-I 4 2'
loop_
_atom_site_label
_atom_site_fract_x
_atom_site_fract_y
_atom_site_fract_z
Rb1 0.000 0.289 0.000
Mg1 0.000 0.000 0.000
Mg2 0.198 0.198 0.500
```

Calculated values
Total magnetic moment, μB per cell: 0.00
N(E_F), states/eV/cell: 8.8

According to the calculations, the structures order from most to least stable as b), a).

a) Entry from Alexandria: a relaxed structure of Rb4Mg (PBE-GGA).

The structure in CIF format:
```
data_Rb4Mg
_cell_length_a 10.286
_cell_length_b 10.286
_cell_length_c 6.568
_cell_angle_alpha 90.00
_cell_angle_beta 90.00
_cell_angle_gamma 90.00
_symmetry_space_group_name_H-M 'I 4/m'
_symmetry_Int_Tables_number 87
_symmetry_space_group_name_Hall '-I 4'
loop_
_atom_site_label
_atom_site_fract_x
_atom_site_fract_y
_atom_site_fract_z
Rb1 0.110 0.287 0.000
Mg1 0.000 0.000 0.500
```

Calculated values
Total magnetic moment, μB per cell: 0.00
N(E_F), states/eV/cell: 7.7

b) Entry from Alexandria: a relaxed structure of Rb4Mg (PBE-GGA).

The structure in CIF format:
```
data_Rb4Mg
_cell_length_a 7.509
_cell_length_b 7.509
_cell_length_c 7.509
_cell_angle_alpha 90.00
_cell_angle_beta 90.00
_cell_angle_gamma 90.00
_symmetry_space_group_name_H-M 'P m -3 m'
_symmetry_Int_Tables_number 221
_symmetry_space_group_name_Hall '-P 4 2 3'
loop_
_atom_site_label
_atom_site_fract_x
_atom_site_fract_y
_atom_site_fract_z
Rb1 0.000 0.000 0.000
Rb2 0.000 0.500 0.500
Mg1 0.500 0.500 0.500
```

Calculated values
Total magnetic moment, μB per cell: 0.00
N(E_F), states/eV/cell: 4.1

According to the calculations, the structures order from most to least stable as a), b).

a) Entry from Alexandria: a relaxed structure of Rb5Mg (PBE-GGA).

The structure in CIF format:
```
data_Rb5Mg
_cell_length_a 6.890
_cell_length_b 6.408
_cell_length_c 19.949
_cell_angle_alpha 90.00
_cell_angle_beta 90.00
_cell_angle_gamma 90.00
_symmetry_space_group_name_H-M 'A m m 2'
_symmetry_Int_Tables_number 38
_symmetry_space_group_name_Hall 'A 2 -2'
loop_
_atom_site_label
_atom_site_fract_x
_atom_site_fract_y
_atom_site_fract_z
Rb1 0.000 0.000 0.000
Rb2 0.000 0.000 0.295
Rb3 0.500 0.000 0.147
Rb4 0.500 0.000 0.491
Rb5 0.500 0.000 0.803
Mg1 0.000 0.000 0.646
```

Calculated values
Total magnetic moment, μB per cell: 0.00
N(E_F), states/eV/cell: 8.5

b) Entry from Alexandria: a relaxed structure of Rb5Mg (PBE-GGA).

The structure in CIF format:
```
data_Rb5Mg
_cell_length_a 4.826
_cell_length_b 4.826
_cell_length_c 19.643
_cell_angle_alpha 90.00
_cell_angle_beta 90.00
_cell_angle_gamma 90.00
_symmetry_space_group_name_H-M 'P 4/m m m'
_symmetry_Int_Tables_number 123
_symmetry_space_group_name_Hall '-P 4 2'
loop_
_atom_site_label
_atom_site_fract_x
_atom_site_fract_y
_atom_site_fract_z
Rb1 0.000 0.000 0.000
Rb2 0.000 0.000 0.384
Rb3 0.500 0.500 0.194
Mg1 0.500 0.500 0.500
```

Calculated values
Total magnetic moment, μB per cell: 0.00
N(E_F), states/eV/cell: 4.9

c) Entry from Alexandria: a relaxed structure of Rb5Mg (PBE-GGA).

The structure in CIF format:
```
data_Rb5Mg
_cell_length_a 12.540
_cell_length_b 12.540
_cell_length_c 12.540
_cell_angle_alpha 90.00
_cell_angle_beta 90.00
_cell_angle_gamma 90.00
_symmetry_space_group_name_H-M 'F -4 3 m'
_symmetry_Int_Tables_number 216
_symmetry_space_group_name_Hall 'F -4 2 3'
loop_
_atom_site_label
_atom_site_fract_x
_atom_site_fract_y
_atom_site_fract_z
Rb1 0.000 0.000 0.000
Rb2 0.124 0.124 0.376
Mg1 0.250 0.250 0.750
```

Calculated values
Total magnetic moment, μB per cell: 0.00
N(E_F), states/eV/cell: 18.8

According to the calculations, the structures order from most to least stable as b), a), c).

a) Entry from Alexandria: a relaxed structure of RbMg4 (PBE-GGA).

The structure in CIF format:
```
data_RbMg4
_cell_length_a 6.748
_cell_length_b 6.748
_cell_length_c 6.748
_cell_angle_alpha 90.00
_cell_angle_beta 90.00
_cell_angle_gamma 90.00
_symmetry_space_group_name_H-M 'P m -3 m'
_symmetry_Int_Tables_number 221
_symmetry_space_group_name_Hall '-P 4 2 3'
loop_
_atom_site_label
_atom_site_fract_x
_atom_site_fract_y
_atom_site_fract_z
Rb1 0.000 0.000 0.000
Mg1 0.000 0.000 0.500
Mg2 0.500 0.500 0.500
```

Calculated values
Total magnetic moment, μB per cell: 0.00
N(E_F), states/eV/cell: 3.1

b) Entry from Alexandria: a relaxed structure of RbMg4 (PBE-GGA).

The structure in CIF format:
```
data_RbMg4
_cell_length_a 7.481
_cell_length_b 7.481
_cell_length_c 5.656
_cell_angle_alpha 90.00
_cell_angle_beta 90.00
_cell_angle_gamma 90.00
_symmetry_space_group_name_H-M 'I 4/m'
_symmetry_Int_Tables_number 87
_symmetry_space_group_name_Hall '-I 4'
loop_
_atom_site_label
_atom_site_fract_x
_atom_site_fract_y
_atom_site_fract_z
Rb1 0.000 0.000 0.000
Mg1 0.007 0.303 0.500
```

Calculated values
Total magnetic moment, μB per cell: 0.00
N(E_F), states/eV/cell: 5.5

According to the calculations, the structures order from most to least stable as b), a).